The following is a DFT calculation (meta-GGA SCAN) of a crystal of MgRhPb2 relaxed with PBEsol.

Summary:
Theoretical density, Mg/m³: 10.4
Raw total energy, eV/atom: -47.604

Cell and atoms, written as POSCAR:
```
MgRhPb2
1.0
3.407 0.000 0.070
0.000 3.407 0.000
-0.142 0.000 7.467
Mg Pb Rh
1 2 1
Cartesian
1.632 1.703 3.768
-0.111 0.000 5.864
3.376 0.000 1.672
1.703 1.703 0.035
```